(1)
Ac2TbNdS4 | GGA-PBE | relaxed

Lattice parameters (Å, degrees): 7.1385 4.0871 7.3248 90.00 108.72 90.00
Sites, in units of the cell vectors:
Ac (0.0000, 0.0000, 0.0000)
Ac (0.5000, 0.5000, 0.0000)
Tb (0.0000, 0.5000, 0.5000)
Nd (0.5000, 0.0000, 0.5000)
S (0.2349, 0.0000, 0.7248)
S (0.2505, 0.5000, 0.2706)
S (0.7495, 0.5000, 0.7294)
S (0.7651, 0.0000, 0.2752)

Output
The symmetry is P2/m (10). The total magnetic moment is 0.0 μB/cell. The value obtained for the density of states at the Fermi level is 0.5979 states/eV/atom. The density is 7264 kg/m³. For the volume, the calculation gives 25.300 Å³ per atom.

(2)
Ac3TbNd2S6 | GGA-PBE | relaxed

Lattice parameters (Å, degrees): 7.1869 7.1869 7.2587 99.53 99.53 120.10
Sites, in units of the cell vectors:
Ac (0.0000, 0.0000, 0.0000)
Ac (0.3306, 0.6694, 0.0000)
Ac (0.6694, 0.3306, 0.0000)
Tb (0.5000, 0.5000, 0.5000)
Nd (0.1666, 0.8334, 0.5000)
Nd (0.8334, 0.1666, 0.5000)
S (0.0984, 0.4239, 0.2710)
S (0.2520, 0.2520, 0.7323)
S (0.4239, 0.0984, 0.2710)
S (0.5761, 0.9016, 0.7290)
S (0.7480, 0.7480, 0.2677)
S (0.9016, 0.5761, 0.7290)

Output
The symmetry is C2/m (12). The total magnetic moment is 0.0 μB/cell. The value obtained for the density of states at the Fermi level is 0.4693 states/eV/atom. The density is 7167 kg/m³. For the volume, the calculation gives 25.503 Å³ per atom.

(3)
Ac2TbNdS6 | GGA-PBE | relaxed

Lattice parameters (Å, degrees): 7.5933 7.5933 7.5933 57.85 57.85 57.85
Sites, in units of the cell vectors:
Ac (0.0000, 0.0000, 0.0000)
Ac (0.4987, 0.4987, 0.4987)
Tb (0.7113, 0.7113, 0.7113)
Nd (0.2133, 0.2133, 0.2133)
S (0.0744, 0.4265, 0.8380)
S (0.3429, 0.9167, 0.5837)
S (0.4265, 0.8380, 0.0744)
S (0.5837, 0.3429, 0.9167)
S (0.8380, 0.0744, 0.4265)
S (0.9167, 0.5837, 0.3429)

Output
The symmetry is R3 (146). The total magnetic moment is 0.0 μB/cell. The value obtained for the density of states at the Fermi level is 0.0000 states/eV/atom. The density is 5358 kg/m³. For the volume, the calculation gives 29.429 Å³ per atom.

(4)
Ac4Nd3ThS8 | GGA-PBE | relaxed

Lattice parameters (Å, degrees): 8.3907 8.3907 8.3907 59.58 59.58 59.58
Sites, in units of the cell vectors:
Ac (0.0000, 0.0000, 0.0000)
Ac (0.0000, 0.5000, 0.5000)
Ac (0.5000, 0.0000, 0.5000)
Ac (0.5000, 0.5000, 0.0000)
Nd (0.0000, 0.0000, 0.5000)
Nd (0.0000, 0.5000, 0.0000)
Nd (0.5000, 0.0000, 0.0000)
Th (0.5000, 0.5000, 0.5000)
S (0.2449, 0.2449, 0.2449)
S (0.2461, 0.7435, 0.7435)
S (0.2565, 0.2565, 0.7539)
S (0.2565, 0.7539, 0.2565)
S (0.7435, 0.2461, 0.7435)
S (0.7435, 0.7435, 0.2461)
S (0.7539, 0.2565, 0.2565)
S (0.7551, 0.7551, 0.7551)

Output
The symmetry is R-3m (166). The total magnetic moment is 0.0 μB/cell. The value obtained for the density of states at the Fermi level is 0.5758 states/eV/atom. The density is 7342 kg/m³. For the volume, the calculation gives 25.856 Å³ per atom.

(5)
AcNdTh2S4 | GGA-PBE | relaxed

Lattice parameters (Å, degrees): 7.0904 4.1172 7.1466 90.00 109.35 90.00
Sites, in units of the cell vectors:
Ac (0.0000, 0.0000, 0.0000)
Nd (0.5000, 0.5000, 0.0000)
Th (0.0000, 0.5000, 0.5000)
Th (0.5000, 0.0000, 0.5000)
S (0.2546, 0.0000, 0.7438)
S (0.2604, 0.5000, 0.2606)
S (0.7396, 0.5000, 0.7394)
S (0.7454, 0.0000, 0.2562)

Output
The symmetry is P2/m (10). The total magnetic moment is 0.0 μB/cell. The value obtained for the density of states at the Fermi level is 0.6195 states/eV/atom. The density is 8128 kg/m³. For the volume, the calculation gives 24.606 Å³ per atom.

(6)
AcNd2Tl3S6 | GGA-PBE | relaxed

Lattice parameters (Å, degrees): 7.3912 7.3912 7.8698 99.00 99.00 119.95
Sites, in units of the cell vectors:
Ac (0.0000, 0.0000, 0.0000)
Nd (0.3336, 0.6664, 0.0000)
Nd (0.6664, 0.3336, 0.0000)
Tl (0.1671, 0.8329, 0.5000)
Tl (0.5000, 0.5000, 0.5000)
Tl (0.8329, 0.1671, 0.5000)
S (0.0690, 0.4140, 0.2071)
S (0.2767, 0.2767, 0.7953)
S (0.4140, 0.0690, 0.2071)
S (0.5860, 0.9310, 0.7929)
S (0.7233, 0.7233, 0.2047)
S (0.9310, 0.5860, 0.7929)

Output
The symmetry is C2/m (12). The total magnetic moment is 0.0 μB/cell. The value obtained for the density of states at the Fermi level is 0.0000 states/eV/atom. The density is 6200 kg/m³. For the volume, the calculation gives 29.484 Å³ per atom.

(7)
AcNdTm2S4 | GGA-PBE | relaxed

Lattice parameters (Å, degrees): 6.8205 3.9218 7.2330 90.00 108.23 90.00
Sites, in units of the cell vectors:
Ac (0.0000, 0.0000, 0.0000)
Nd (0.5000, 0.5000, 0.0000)
Tm (0.0000, 0.5000, 0.5000)
Tm (0.5000, 0.0000, 0.5000)
S (0.2448, 0.0000, 0.7212)
S (0.2662, 0.5000, 0.2828)
S (0.7338, 0.5000, 0.7172)
S (0.7552, 0.0000, 0.2788)

Output
The symmetry is P2/m (10). The total magnetic moment is 0.0 μB/cell. The value obtained for the density of states at the Fermi level is 0.3713 states/eV/atom. The density is 7567 kg/m³. For the volume, the calculation gives 22.971 Å³ per atom.

(8)
Ac3Nd3TmS8 | GGA-PBE | relaxed

Lattice parameters (Å, degrees): 8.3984 8.3984 8.3984 58.72 58.72 58.72
Sites, in units of the cell vectors:
Ac (0.0000, 0.5000, 0.5000)
Ac (0.5000, 0.0000, 0.5000)
Ac (0.5000, 0.5000, 0.0000)
Nd (0.0000, 0.0000, 0.5000)
Nd (0.0000, 0.5000, 0.0000)
Nd (0.5000, 0.0000, 0.0000)
Tm (0.5000, 0.5000, 0.5000)
S (0.2451, 0.2451, 0.2451)
S (0.2562, 0.7347, 0.7347)
S (0.2653, 0.2653, 0.7438)
S (0.2653, 0.7438, 0.2653)
S (0.7347, 0.2562, 0.7347)
S (0.7347, 0.7347, 0.2562)
S (0.7438, 0.2653, 0.2653)
S (0.7549, 0.7549, 0.7549)

Output
The symmetry is R-3m (166). The total magnetic moment is 0.0 μB/cell. The value obtained for the density of states at the Fermi level is 0.4715 states/eV/atom. The density is 6285 kg/m³. For the volume, the calculation gives 27.111 Å³ per atom.

(9)
AcNd2TmS4 | GGA-PBE | relaxed

Lattice parameters (Å, degrees): 7.0091 4.0120 7.2197 90.00 108.56 90.00
Sites, in units of the cell vectors:
Ac (0.0000, 0.0000, 0.0000)
Nd (0.5000, 0.0000, 0.5000)
Nd (0.5000, 0.5000, 0.0000)
Tm (0.0000, 0.5000, 0.5000)
S (0.2373, 0.0000, 0.7280)
S (0.2512, 0.5000, 0.2694)
S (0.7488, 0.5000, 0.7306)
S (0.7627, 0.0000, 0.2720)

Output
The symmetry is P2/m (10). The total magnetic moment is 0.0 μB/cell. The value obtained for the density of states at the Fermi level is 0.5166 states/eV/atom. The density is 7012 kg/m³. For the volume, the calculation gives 24.058 Å³ per atom.

(10)
AcNd2TmS6 | GGA-PBE | relaxed

Lattice parameters (Å, degrees): 7.5610 7.5610 7.5610 56.87 56.87 56.87
Sites, in units of the cell vectors:
Ac (0.0000, 0.0000, 0.0000)
Nd (0.2828, 0.2828, 0.2828)
Nd (0.7902, 0.7902, 0.7902)
Tm (0.4884, 0.4884, 0.4884)
S (0.0981, 0.6634, 0.4127)
S (0.2052, 0.5901, 0.8723)
S (0.4127, 0.0981, 0.6634)
S (0.5901, 0.8723, 0.2052)
S (0.6634, 0.4127, 0.0981)
S (0.8723, 0.2052, 0.5901)

Output
The symmetry is R3 (146). The total magnetic moment is 0.0 μB/cell. The value obtained for the density of states at the Fermi level is 0.0000 states/eV/atom. The density is 5135 kg/m³. For the volume, the calculation gives 28.354 Å³ per atom.

(11)
Ac2NdTmS4 | GGA-PBE | relaxed

Lattice parameters (Å, degrees): 7.0658 4.0399 7.3676 90.00 108.32 90.00
Sites, in units of the cell vectors:
Ac (0.0000, 0.0000, 0.0000)
Ac (0.5000, 0.5000, 0.0000)
Nd (0.0000, 0.5000, 0.5000)
Tm (0.5000, 0.0000, 0.5000)
S (0.2527, 0.0000, 0.7255)
S (0.2713, 0.5000, 0.2816)
S (0.7287, 0.5000, 0.7184)
S (0.7473, 0.0000, 0.2745)

Output
The symmetry is P2/m (10). The total magnetic moment is 0.0 μB/cell. The value obtained for the density of states at the Fermi level is 0.5105 states/eV/atom. The density is 7448 kg/m³. For the volume, the calculation gives 24.956 Å³ per atom.

(12)
AcNd2US8 | GGA-PBE | relaxed

Lattice parameters (Å, degrees): 4.8115 9.2980 6.7297 90.00 90.13 90.00
Sites, in units of the cell vectors:
Ac (0.0000, 0.0000, 0.0000)
Nd (0.5000, 0.2551, 0.5000)
Nd (0.5000, 0.7449, 0.5000)
U (0.0000, 0.5000, 0.0000)
S (0.0006, 0.2805, 0.7519)
S (0.0006, 0.7195, 0.7519)
S (0.4993, 0.0000, 0.7373)
S (0.4997, 0.5000, 0.2184)
S (0.5003, 0.5000, 0.7816)
S (0.5007, 0.0000, 0.2627)
S (0.9994, 0.2805, 0.2481)
S (0.9994, 0.7195, 0.2481)

Output
The symmetry is P2/m (10). The total magnetic moment is 0.0 μB/cell. The value obtained for the density of states at the Fermi level is 0.3375 states/eV/atom. The density is 5571 kg/m³. For the volume, the calculation gives 25.089 Å³ per atom.

no.,ΔE_f (raw) (meV/atom)
1,-1998
2,-2006
3,-2091
4,-1980
5,-1899
6,-1466
7,-1966
8,-2041
9,-1960
10,-2040
11,-1974
12,-1582